(1)
Here is NdCdPd3 after structural relaxation from Alexandria. Energies are from PBE.

```
20
Lattice="7.972 0.000 0.000 0.000 7.055 0.000 0.000 0.000 7.646" Properties=species:S:1:pos:R:3 pbc="T T T"
Pd 6.322 1.379 3.326
Pd 5.933 6.131 1.912
Pd 5.636 4.907 7.149
Pd 1.650 5.676 4.321
Pd 6.025 2.603 5.735
Pd 5.636 4.907 4.321
Pd 2.039 0.924 5.735
Pd 2.336 2.148 0.498
Pd 1.650 5.676 7.149
Pd 1.947 4.452 1.912
Pd 6.322 1.379 0.498
Pd 2.336 2.148 3.326
Cd 0.000 3.528 0.000
Cd 3.986 0.000 0.000
Cd 3.986 0.000 3.823
Cd 0.000 3.528 3.823
Nd 0.730 0.103 1.912
Nd 4.716 3.425 1.912
Nd 3.256 3.630 5.735
Nd 7.242 6.952 5.735
```

Output
SG = Pnma


(2)
Here is NdCd3Pd4 after structural relaxation from Alexandria. Energies are from PBE.

```
8
Lattice="4.551 0.000 1.343 2.077 4.049 1.343 0.021 0.013 8.308" Properties=species:S:1:pos:R:3 pbc="T T T"
Pd 5.800 3.543 5.493
Pd 0.850 0.519 5.501
Pd 4.091 2.499 2.903
Pd 2.559 1.563 8.092
Cd 1.647 1.006 2.800
Cd 3.325 2.031 5.497
Cd 5.002 3.056 8.195
Nd 0.000 0.000 0.000
```

Output
SG = R-3m


(3)
Here is NdCd4Pd after structural relaxation from Alexandria. Energies are from PBE.

```
12
Lattice="-1.505 -3.932 0.927 5.804 -1.149 4.545 -4.499 3.272 6.573" Properties=species:S:1:pos:R:3 pbc="T T T"
Cd -1.556 -1.212 2.359
Cd 1.224 -1.284 6.562
Cd -3.230 0.788 8.122
Cd -1.424 -0.525 5.483
Cd -2.250 1.636 3.287
Cd 0.000 0.000 0.000
Cd 3.031 -2.598 3.923
Cd 1.356 -0.598 9.687
Nd 1.170 0.364 3.440
Nd 0.135 1.759 7.678
Pd -2.099 2.201 5.928
Pd 3.404 -0.079 5.189
```

Output
SG = Pmma
energy above the lowest structure with this stoichiometry = 0.0000 eV per atom


(4)
Here is Nd8CdPd2 after structural relaxation from Alexandria. Energies are from PBE.

```
11
Lattice="5.328 0.000 0.000 0.000 7.059 -0.036 -2.664 -3.073 8.876" Properties=species:S:1:pos:R:3 pbc="T T T"
Pd 0.000 4.084 3.024
Pd 2.664 -0.098 5.815
Nd 2.664 -1.309 8.347
Nd 2.664 -1.065 3.145
Nd 2.664 2.813 1.664
Nd 0.000 5.295 0.493
Nd 2.664 2.813 5.342
Nd 0.000 1.173 7.175
Nd 0.000 1.173 3.497
Nd 0.000 5.051 5.694
Cd 2.664 0.000 0.000
```

Output
SG = C2/m


Number 1: energy -0.3477 Ry per atom, DOS(E_F) 0.4161 states/eV/atom. Number 2: energy -0.2971 Ry per atom, DOS(E_F) 0.4890 states/eV/atom. Number 3: energy -0.1934 Ry per atom, DOS(E_F) 0.6115 states/eV/atom. Number 4: energy -0.3534 Ry per atom, DOS(E_F) 0.9647 states/eV/atom.